LiThTi, relaxed, DFT GGA-PBE; ρ = 7197 kg/m3; M_tot = 0.000 μB/atom; D(E_F) = 4.005 states/eV/f.u.; energy relative to the elements = 0.330 eV per atom
1.0
-2.6338 0.7684 1.7144
-0.5964 -4.5859 1.1398
5.4303 5.3946 5.9223
Li Th Ti
2 2 2
direct
0.7492 0.4641 0.2300
0.2508 0.5359 0.7700
0.2498 0.0975 0.3738
0.7502 0.9025 0.6262
0.7501 0.7957 0.0439
0.2499 0.2043 0.9561


Ac2TbErTe5, relaxed, DFT GGA-PBE; ρ = 6593 kg/m3; M_tot = 0.000 μB/atom; D(E_F) = 6.672 states/eV/f.u.; energy relative to the elements, uncorrected = -838.6 kJ/mol of formula units
1.0
5.5491 0.0000 0.0000
0.0000 5.5491 0.0000
0.0000 0.0000 11.5995
Ac Tb Er Te
2 1 1 5
direct
0.5000 0.5000 0.2998
0.5000 0.5000 0.7002
0.0000 0.0000 0.5000
0.0000 0.0000 0.0000
0.0000 0.5000 0.5000
0.5000 0.0000 0.5000
0.0000 0.0000 0.7570
0.0000 0.0000 0.2430
0.5000 0.5000 0.0000


Sm3Te2Au, relaxed, DFT GGA-PBE; ρ = 8295 kg/m3; M_tot = 0.000 μB/atom; D(E_F) = 6.696 states/eV/f.u.; excess energy over the best structure of this formula in the dataset = 0.27 kcal/mol of atoms; energy relative to the elements, uncorrected = -679.7 kJ/mol of formula units
1.0
-3.4770 2.3290 0.8883
-3.5112 -5.1950 -0.1230
4.5812 0.5422 6.2084
Sm Te Au
3 2 1
direct
0.8465 0.3465 0.1929
0.1535 0.6535 0.8071
0.5000 0.0000 0.5000
0.8277 0.8277 0.1554
0.1723 0.1723 0.8446
0.5000 0.5000 0.5000


VAg2H, relaxed, DFT GGA-PBE; ρ = 7262 kg/m3; M_tot = 0.672 μB/atom; D(E_F) = 5.614 states/eV/f.u.; excess energy over the best structure of this formula in the dataset = 8.72 kcal/mol of atoms
1.0
-2.0412 -2.5446 2.9877
-1.1520 1.6863 3.9239
-4.2663 0.6874 0.9455
H Ag V
1 2 1
direct
0.0000 0.0000 0.0000
0.2500 0.2500 0.2500
0.7500 0.7500 0.7500
0.5000 0.5000 0.5000


NpPaAlRe, relaxed, DFT GGA-PBE; ρ = 14727 kg/m3; M_tot = 1.019 μB/atom; D(E_F) = 5.871 states/eV/f.u.; energy relative to the elements = 0.031 eV per atom
1.0
-1.1950 4.2879 -1.7182
-3.8497 0.4680 -2.7797
-3.8778 2.2360 1.6520
Np Re Pa Al
1 1 1 1
direct
0.5000 0.5000 0.5000
0.0000 0.0000 0.0000
0.7500 0.7500 0.7500
0.2500 0.2500 0.2500


LiEuZnBi, relaxed, DFT GGA-PBE; ρ = 6888 kg/m3; M_tot = 1.751 μB/atom; D(E_F) = 7.017 states/eV/f.u.; energy relative to the elements = -0.459 eV per atom
1.0
5.2862 0.0000 0.0000
2.6431 4.5780 0.0000
2.6431 1.5260 4.3162
Eu Zn Bi Li
1 1 1 1
direct
0.7500 0.7500 0.7500
0.0000 0.0000 0.0000
0.5000 0.5000 0.5000
0.2500 0.2500 0.2500


Sc2Tc3Ge4, relaxed, DFT GGA-PBE; ρ = 7203 kg/m3; M_tot = 0.000 μB/atom; D(E_F) = 6.387 states/eV/f.u.; energy relative to the elements = -0.329 eV per atom; excess energy over the best structure of this formula in the dataset = 5.45 kcal/mol of atoms
1.0
5.3180 -0.0967 0.0000
-2.5572 4.6639 0.0000
-1.3804 -2.2836 6.3326
Sc Tc Ge
2 3 4
direct
0.6312 0.6312 0.2625
0.3688 0.3688 0.7375
0.5000 0.0000 0.0000
0.0000 0.0000 0.0000
0.0000 0.5000 0.0000
0.9940 0.6736 0.6676
0.6736 0.9940 0.6676
0.0060 0.3264 0.3324
0.3264 0.0060 0.3324


CdSi3B, relaxed, DFT GGA-PBE; ρ = 2774 kg/m3; M_tot = 0.000 μB/atom; D(E_F) = 3.969 states/eV/f.u.; excess energy over the best structure of this formula in the dataset = 33.20 kcal/mol of atoms; energy relative to the elements, uncorrected = 1039.6 kJ/mol of formula units
1.0
4.9896 0.0000 0.0000
0.0000 4.9896 0.0000
0.0000 0.0000 4.9896
Si B Cd
3 1 1
direct
0.0000 0.5000 0.0000
0.0000 0.0000 0.5000
0.5000 0.0000 0.0000
0.5000 0.5000 0.5000
0.0000 0.0000 0.0000


PrSm2YTl2, relaxed, DFT GGA-PBE; ρ = 8468 kg/m3; M_tot = 0.000 μB/atom; D(E_F) = 6.781 states/eV/f.u.; energy relative to the elements = -0.280 eV per atom
1.0
-2.9729 -4.2152 -0.8250
5.2366 -4.0694 1.9217
-3.2447 0.3945 9.6769
Pr Sm Y Tl
2 4 2 4
direct
0.0000 0.9604 0.4573
0.0000 0.4604 0.5427
0.5000 0.0518 0.0450
0.0000 0.3314 0.1816
0.5000 0.5518 0.9550
0.0000 0.8314 0.8184
0.5000 0.1823 0.6891
0.5000 0.6823 0.3109
0.0000 0.2969 0.8616
0.5000 0.2228 0.3662
0.0000 0.7969 0.1384
0.5000 0.7228 0.6338


MgMn3Tc, relaxed, DFT GGA-PBE; ρ = 4782 kg/m3; M_tot = 1.856 μB/atom; D(E_F) = 8.470 states/eV/f.u.; energy relative to the elements = 1.028 eV per atom; excess energy over the best structure of this formula in the dataset = 0.00 kcal/mol of atoms
1.0
-1.6585 4.2926 -0.5684
-3.6846 -1.0793 2.5998
2.2745 1.3816 3.7971
Mg Mn Tc
1 3 1
direct
0.5000 0.5000 0.5000
0.0000 0.5000 0.0000
0.0000 0.0000 0.5000
0.5000 0.0000 0.0000
0.0000 0.0000 0.0000


Rb2H2SI2, relaxed, DFT GGA-PBE; ρ = 3186 kg/m3; M_tot = 0.000 μB/atom; D(E_F) = 0.000 states/eV/f.u.
1.0
4.8201 -0.3567 0.1664
1.8978 6.7084 1.8374
0.0241 4.2222 8.3381
Rb H S I
2 2 1 2
direct
0.5000 0.9998 0.7515
0.5000 0.0002 0.2485
0.0182 0.2695 0.8653
0.9818 0.7305 0.1347
0.0000 0.0000 0.0000
0.9091 0.3776 0.3111
0.0909 0.6224 0.6889


Zn2Ni2Au, relaxed, DFT GGA-PBE; ρ = 10131 kg/m3; M_tot = 0.085 μB/atom; D(E_F) = 5.513 states/eV/f.u.; energy relative to the elements = 0.142 eV per atom; excess energy over the best structure of this formula in the dataset = 6.22 kcal/mol of atoms
1.0
3.5607 0.0000 0.0000
0.0000 3.5607 0.0000
1.7803 1.7803 5.7552
Ni Zn Au
2 2 1
direct
0.3990 0.3990 0.2019
0.6010 0.6010 0.7981
0.7500 0.2500 0.5000
0.2500 0.7500 0.5000
0.0000 0.0000 0.0000


Number 1: electronic total energy -5.413 eV/atom. Number 2: electronic total energy -4.645 eV/atom. Number 3: electronic total energy -5.127 eV/atom. Number 4: electronic total energy -3.560 eV/atom. Number 5: electronic total energy -9.626 eV/atom. Number 6: electronic total energy -4.795 eV/atom. Number 7: electronic total energy -7.243 eV/atom. Number 8: electronic total energy -2.617 eV/atom. Number 9: electronic total energy -4.516 eV/atom. Number 10: electronic total energy -6.866 eV/atom. Number 11: electronic total energy -2.968 eV/atom. Number 12: electronic total energy -3.335 eV/atom.